Entry 1:
{"formula": "NdPa2Se6", "functional": "PBE", "state": "optimized geometry", "cell": [[4.126, 0.000, -0.945], [-0.435, 8.268, -1.899], [-0.029, 0.091, 9.348]], "species": ["Nd", "Pa", "Pa", "Se", "Se", "Se", "Se", "Se", "Se"], "fractional_positions": [[0.500, 0.000, 0.000], [0.833, 0.671, 0.667], [0.167, 0.329, 0.333], [0.332, 0.891, 0.663], [0.012, 0.247, 0.024], [0.673, 0.559, 0.346], [0.988, 0.753, 0.976], [0.668, 0.109, 0.337], [0.327, 0.441, 0.654]], "volume_a3_per_atom": 35.49, "relative_energy_mev_per_atom": 0, "spacegroup": "No. 12", "e_form_raw_ev_per_fu": -13.21, "m_tot_mub_per_fu": 1.1}

Entry 2:
{"formula": "NdPaSe3", "functional": "PBE", "state": "optimized geometry", "cell": [[4.083, 0.000, 0.000], [0.000, 7.855, 0.000], [0.000, 0.000, 16.229]], "species": ["Nd", "Nd", "Nd", "Nd", "Pa", "Pa", "Pa", "Pa", "Se", "Se", "Se", "Se", "Se", "Se", "Se", "Se", "Se", "Se", "Se", "Se"], "fractional_positions": [[0.750, 0.906, 0.795], [0.250, 0.094, 0.205], [0.750, 0.406, 0.705], [0.250, 0.594, 0.295], [0.250, 0.262, 0.960], [0.250, 0.762, 0.540], [0.750, 0.238, 0.460], [0.750, 0.738, 0.040], [0.250, 0.381, 0.569], [0.750, 0.818, 0.218], [0.750, 0.496, 0.900], [0.750, 0.996, 0.600], [0.750, 0.619, 0.431], [0.250, 0.004, 0.400], [0.250, 0.881, 0.931], [0.750, 0.318, 0.282], [0.250, 0.682, 0.718], [0.250, 0.182, 0.782], [0.750, 0.119, 0.069], [0.250, 0.504, 0.100]], "volume_a3_per_atom": 26.03, "relative_energy_mev_per_atom": 0, "spacegroup": "No. 62", "e_form_raw_ev_per_fu": -8.03, "m_tot_mub_per_fu": 1.6}

Entry 3:
{"formula": "Nd2PaSe6", "functional": "PBE", "state": "optimized geometry", "cell": [[6.811, 0.000, 0.000], [0.000, 6.811, 0.000], [0.000, 0.000, 12.999]], "species": ["Nd", "Nd", "Nd", "Nd", "Pa", "Pa", "Se", "Se", "Se", "Se", "Se", "Se", "Se", "Se", "Se", "Se", "Se", "Se"], "fractional_positions": [[0.500, 0.500, 0.332], [0.500, 0.500, 0.668], [0.000, 0.000, 0.168], [0.000, 0.000, 0.832], [0.500, 0.500, 0.000], [0.000, 0.000, 0.500], [0.694, 0.694, 0.156], [0.694, 0.694, 0.844], [0.710, 0.710, 0.500], [0.790, 0.210, 0.000], [0.806, 0.194, 0.344], [0.806, 0.194, 0.656], [0.194, 0.806, 0.344], [0.194, 0.806, 0.656], [0.210, 0.790, 0.000], [0.290, 0.290, 0.500], [0.306, 0.306, 0.156], [0.306, 0.306, 0.844]], "volume_a3_per_atom": 33.50, "spacegroup": "No. 136", "e_form_raw_ev_per_fu": -12.70, "m_tot_mub_per_fu": 0.0}

Question: What is the formula in the third record?
Answer: Nd2PaSe6